*a*
# Tb2Er7Tm

A relaxed structure of Tb2Er7Tm (PBE, Alexandria).

Summary:
- Fermi-level density of states (states/eV per atom) = 1.1150
- calculated volume (Å³/f.u.) = 373

Lattice parameters (Å, degrees): 9.6639 9.6639 5.0193 90.00 90.00 127.36
Closest atoms and distances in Å follow each position.
Sites, in units of the cell vectors:
Tb 0.2011 0.7989 0.0000  5 Er 3.11-3.48
Tb 0.7989 0.2011 0.0000  5 Er 3.11-3.48
Er 0.0000 0.0000 0.0000  4 Er 3.30, 2 Tb 3.48
Er 0.2146 0.4255 0.0000  4 Er 3.08-3.31, 1 Tb 3.20
Er 0.3073 0.6927 0.5000  2 Tb 3.11, 4 Er 3.31, 1 Tm 3.34
Er 0.4255 0.2146 0.0000  4 Er 3.08-3.31, 1 Tb 3.20
Er 0.5745 0.7854 0.0000  4 Er 3.08-3.31, 1 Tb 3.20
Er 0.6927 0.3073 0.5000  2 Tb 3.11, 4 Er 3.31, 1 Tm 3.34
Er 0.7854 0.5745 0.0000  4 Er 3.08-3.31, 1 Tb 3.20
Tm 0.5000 0.5000 0.5000  10 Er 3.34-3.47


*b*
# Tb2Er7Tm

A relaxed structure of Tb2Er7Tm (PBE, Alexandria).

Summary:
- Fermi-level density of states (states/eV per atom) = 1.4170
- calculated volume (Å³/f.u.) = 305

Lattice parameters (Å, degrees): 6.0664 6.0749 9.2795 102.59 108.98 99.69
Closest atoms and distances in Å follow each position.
Sites, in units of the cell vectors:
Tb 0.1003 0.0005 0.2004  10 Er 3.50-3.52, 1 Tm 3.50, 1 Tb 3.51
Tb 0.8997 0.9995 0.7996  10 Er 3.50-3.52, 1 Tm 3.50, 1 Tb 3.51
Er 0.1001 0.5002 0.6994  2 Tm 3.50-3.51, 8 Er 3.50-3.52, 2 Tb 3.51
Er 0.2997 0.0001 0.5993  7 Er 3.49-3.52, 2 Tm 3.50-3.51, 3 Tb 3.50-3.51
Er 0.3005 0.5009 0.1004  8 Er 3.50-3.52, 3 Tb 3.51-3.52, 1 Tm 3.51
Er 0.5000 0.0000 0.0000  8 Er 3.50-3.52, 4 Tb 3.50-3.51
Er 0.7003 0.9999 0.4007  7 Er 3.49-3.52, 2 Tm 3.50-3.51, 3 Tb 3.50-3.51
Er 0.6995 0.4991 0.8996  8 Er 3.50-3.52, 3 Tb 3.51-3.52, 1 Tm 3.51
Er 0.8999 0.4998 0.3006  2 Tm 3.50-3.51, 8 Er 3.50-3.52, 2 Tb 3.51
Tm 0.5000 0.5000 0.5000  10 Er 3.50-3.51, 2 Tb 3.50


Quick one: most stable of them? *b*


*a*
# TbErTm5

A relaxed structure of TbErTm5 (PBE, Alexandria).

Summary:
- Fermi-level density of states (states/eV per atom) = 1.1909
- calculated volume (Å³/f.u.) = 216

Lattice parameters (Å, degrees): 6.6360 6.6360 12.0053 107.23 107.23 60.23
Closest atoms and distances in Å follow each position.
Sites, in units of the cell vectors:
Tb 0.0272 0.9728 0.7500  3 Tm 2.94-3.26
Tb 0.9728 0.0272 0.2500  3 Tm 2.94-3.26
Er 0.0000 0.5000 0.0000  4 Tm 3.19-3.54
Er 0.5000 0.0000 0.5000  4 Tm 3.19-3.54
Tm 0.1401 0.4197 0.7527  2 Tm 2.95-3.24, 1 Er 3.19
Tm 0.1930 0.6506 0.4996  4 Tm 3.24-3.54, 1 Tb 3.26
Tm 0.3494 0.8070 0.0004  4 Tm 3.24-3.54, 1 Tb 3.26
Tm 0.4146 0.5854 0.2500  1 Tb 2.94, 2 Tm 2.95
Tm 0.4197 0.1401 0.2527  2 Tm 2.95-3.24, 1 Er 3.19
Tm 0.5803 0.8599 0.7473  2 Tm 2.95-3.24, 1 Er 3.19
Tm 0.5854 0.4146 0.7500  1 Tb 2.94, 2 Tm 2.95
Tm 0.6506 0.1930 0.9996  4 Tm 3.24-3.54, 1 Tb 3.26
Tm 0.8070 0.3494 0.5004  4 Tm 3.24-3.54, 1 Tb 3.26
Tm 0.8599 0.5803 0.2473  2 Tm 2.95-3.24, 1 Er 3.19


*b*
# TbErTm5

A relaxed structure of TbErTm5 (PBE, Alexandria).

Summary:
- Fermi-level density of states (states/eV per atom) = 1.3361
- calculated volume (Å³/f.u.) = 216

Lattice parameters (Å, degrees): 6.8759 6.8759 6.8759 123.64 123.61 83.83
Closest atoms and distances in Å follow each position.
Sites, in units of the cell vectors:
Tb 0.0000 0.0000 0.0000  2 Er 3.41, 2 Tm 3.41
Er 0.8982 0.3982 0.5000  3 Tm 3.03-3.15
Tm 0.3477 0.1198 0.7722  4 Tm 2.96-3.20
Tm 0.3477 0.5755 0.2278  4 Tm 2.96-3.20
Tm 0.4249 0.6524 0.7725  3 Tm 2.96-3.20, 1 Er 3.15
Tm 0.6019 0.1019 0.5000  1 Er 3.03, 2 Tm 3.15
Tm 0.8799 0.6524 0.2275  3 Tm 2.96-3.20, 1 Er 3.15


Quick one: most stable of them? *a*


*a*
# Tb2Er8Tm3

A relaxed structure of Tb2Er8Tm3 (PBE, Alexandria).

Summary:
- Fermi-level density of states (states/eV per atom) = 1.7070
- calculated volume (Å³/f.u.) = 416

Lattice parameters (Å, degrees): 10.7822 10.7822 5.5023 90.02 90.02 40.62
Closest atoms and distances in Å follow each position.
Sites, in units of the cell vectors:
Tb 0.2412 0.2412 0.4993  8 Er 3.35-3.54
Tb 0.7588 0.7588 0.5007  8 Er 3.35-3.54
Er 0.1316 0.1316 0.9998  2 Tm 3.40, 6 Er 3.52-3.80, 2 Tb 3.53-3.54
Er 0.1789 0.6055 0.4997  1 Tm 3.06, 3 Er 3.19-3.38
Er 0.3355 0.3355 0.9994  2 Tb 3.35, 4 Er 3.38, 2 Tm 3.70
Er 0.3945 0.8211 0.5003  1 Tm 3.06, 3 Er 3.19-3.38
Er 0.6055 0.1789 0.4997  1 Tm 3.06, 3 Er 3.19-3.38
Er 0.6645 0.6645 0.0006  2 Tb 3.35, 4 Er 3.38, 2 Tm 3.70
Er 0.8211 0.3945 0.5003  1 Tm 3.06, 3 Er 3.19-3.38
Er 0.8684 0.8684 0.0002  2 Tm 3.40, 6 Er 3.52-3.80, 2 Tb 3.53-3.54
Tm 0.0000 0.0000 0.5000  4 Er 3.06
Tm 0.2831 0.7169 0.0000  3 Tm 3.25-3.47, 6 Er 3.40-3.51
Tm 0.7169 0.2831 0.0000  3 Tm 3.25-3.47, 6 Er 3.40-3.51


*b*
# Tb2Er8Tm3

A relaxed structure of Tb2Er8Tm3 (PBE, Alexandria).

Summary:
- Fermi-level density of states (states/eV per atom) = 1.5834
- calculated volume (Å³/f.u.) = 428

Lattice parameters (Å, degrees): 9.3705 9.3705 5.9677 95.76 95.76 55.21
Closest atoms and distances in Å follow each position.
Sites, in units of the cell vectors:
Tb 0.2272 0.2272 0.0534  7 Er 3.13-3.34
Tb 0.7728 0.7728 0.9466  7 Er 3.13-3.34
Er 0.1670 0.1670 0.5376  2 Tb 3.13-3.16, 2 Tm 3.24, 1 Er 3.49
Er 0.2022 0.5844 0.9618  2 Tm 3.21-3.58, 2 Tb 3.32-3.34, 4 Er 3.32-3.52
Er 0.3726 0.3726 0.4656  1 Tb 3.25, 2 Tm 3.38, 5 Er 3.38-3.49
Er 0.4156 0.7978 0.0382  2 Tm 3.21-3.58, 2 Tb 3.32-3.34, 4 Er 3.32-3.52
Er 0.5844 0.2022 0.9618  2 Tm 3.21-3.58, 2 Tb 3.32-3.34, 4 Er 3.32-3.52
Er 0.6274 0.6274 0.5344  1 Tb 3.25, 2 Tm 3.38, 5 Er 3.38-3.49
Er 0.7978 0.4156 0.0382  2 Tm 3.21-3.58, 2 Tb 3.32-3.34, 4 Er 3.32-3.52
Er 0.8330 0.8330 0.4624  2 Tb 3.13-3.16, 2 Tm 3.24, 1 Er 3.49
Tm 0.0000 0.0000 0.0000  4 Er 3.21, 4 Tm 3.43
Tm 0.1958 0.8042 0.5000  8 Er 3.24-3.62, 3 Tm 3.40-3.43
Tm 0.8042 0.1958 0.5000  8 Er 3.24-3.62, 3 Tm 3.40-3.43


Quick one: most stable of them? *a*


*a*
# Tb3Er7Tm

A relaxed structure of Tb3Er7Tm (PBE, Alexandria).

Summary:
- Fermi-level density of states (states/eV per atom) = 1.6585
- calculated volume (Å³/f.u.) = 346

Lattice parameters (Å, degrees): 6.8596 5.4502 9.8225 90.00 109.50 90.00
Closest atoms and distances in Å follow each position.
Sites, in units of the cell vectors:
Tb 0.0000 0.0000 0.0000  2 Tm 3.43, 10 Er 3.48-3.76
Tb 0.2783 0.5000 0.4957  1 Tb 3.01, 4 Er 3.29-3.34
Tb 0.7217 0.5000 0.5043  1 Tb 3.01, 4 Er 3.29-3.34
Er 0.0000 0.0000 0.5000  4 Tb 3.34
Er 0.1497 0.5000 0.7902  3 Er 3.22-3.52, 2 Tb 3.29-3.32
Er 0.3196 0.5000 0.1383  5 Er 3.22-3.52, 2 Tm 3.45, 2 Tb 3.48
Er 0.4236 0.0000 0.3298  3 Er 3.15-3.25, 1 Tm 3.45, 4 Tb 3.49
Er 0.5764 0.0000 0.6702  3 Er 3.15-3.25, 1 Tm 3.45, 4 Tb 3.49
Er 0.6804 0.5000 0.8617  5 Er 3.22-3.52, 2 Tm 3.45, 2 Tb 3.48
Er 0.8503 0.5000 0.2098  3 Er 3.22-3.52, 2 Tb 3.29-3.32
Tm 0.5000 0.0000 0.0000  2 Tb 3.43, 10 Er 3.45-3.76


*b*
# Tb3Er7Tm

A relaxed structure of Tb3Er7Tm (PBE, Alexandria).

Summary:
- Fermi-level density of states (states/eV per atom) = 1.4042
- calculated volume (Å³/f.u.) = 350

Lattice parameters (Å, degrees): 8.3226 8.3226 8.3226 139.68 96.95 96.70
Closest atoms and distances in Å follow each position.
Sites, in units of the cell vectors:
Tb 0.0000 0.0000 0.0000  4 Er 3.13
Tb 0.2095 0.7095 0.5000  5 Er 3.21-3.44
Tb 0.7905 0.2905 0.5000  5 Er 3.21-3.44
Er 0.0020 0.8004 0.2016  2 Tb 3.13-3.44, 3 Er 3.26-3.47
Er 0.2074 0.5000 0.7074  1 Tm 3.23, 2 Tb 3.26, 2 Er 3.47
Er 0.4012 0.1996 0.2016  2 Tb 3.13-3.44, 3 Er 3.26-3.47
Er 0.5000 0.0000 0.5000  2 Tm 2.87
Er 0.5988 0.8004 0.7984  2 Tb 3.13-3.44, 3 Er 3.26-3.47
Er 0.7926 0.5000 0.2926  1 Tm 3.23, 2 Tb 3.26, 2 Er 3.47
Er 0.9980 0.1996 0.7984  2 Tb 3.13-3.44, 3 Er 3.26-3.47
Tm 0.5000 0.5000 0.0000  2 Er 2.87


Quick one: most stable of them? *a*


*a*
# Tb2Er5Tm

A relaxed structure of Tb2Er5Tm (PBE, Alexandria).

Summary:
- Fermi-level density of states (states/eV per atom) = 1.1716
- calculated volume (Å³/f.u.) = 244

Lattice parameters (Å, degrees): 7.0180 14.0364 4.9584 90.00 90.00 90.00
Closest atoms and distances in Å follow each position.
Sites, in units of the cell vectors:
Tb 0.2494 0.1249 0.0000  2 Tm 3.50, 10 Er 3.51
Tb 0.2506 0.6249 0.0000  2 Tm 3.50, 10 Er 3.51
Tb 0.7494 0.3751 0.0000  2 Tm 3.50, 10 Er 3.51
Tb 0.7506 0.8751 0.0000  2 Tm 3.50, 10 Er 3.51
Er 0.0000 0.5000 0.5000  6 Er 3.51, 2 Tm 3.51, 4 Tb 3.51
Er 0.0006 0.7501 0.5000  7 Er 3.51, 4 Tb 3.51, 1 Tm 3.51
Er 0.2495 0.3751 0.0000  6 Er 3.51, 4 Tb 3.51, 2 Tm 3.51
Er 0.2505 0.8751 0.0000  6 Er 3.51, 4 Tb 3.51, 2 Tm 3.51
Er 0.4994 0.2501 0.5000  7 Er 3.51, 4 Tb 3.51, 1 Tm 3.51
Er 0.5000 0.0000 0.5000  6 Er 3.51, 2 Tm 3.51, 4 Tb 3.51
Er 0.5006 0.7499 0.5000  7 Er 3.51, 4 Tb 3.51, 1 Tm 3.51
Er 0.7495 0.1249 0.0000  6 Er 3.51, 4 Tb 3.51, 2 Tm 3.51
Er 0.7505 0.6249 0.0000  6 Er 3.51, 4 Tb 3.51, 2 Tm 3.51
Er 0.9994 0.2499 0.5000  7 Er 3.51, 4 Tb 3.51, 1 Tm 3.51
Tm 0.0000 0.0000 0.5000  4 Tb 3.50, 8 Er 3.51
Tm 0.5000 0.5000 0.5000  4 Tb 3.50, 8 Er 3.51


*b*
# Tb2Er5Tm

A relaxed structure of Tb2Er5Tm (PBE, Alexandria).

Summary:
- Fermi-level density of states (states/eV per atom) = 1.6703
- calculated volume (Å³/f.u.) = 254

Lattice parameters (Å, degrees): 8.5539 8.5539 11.2839 90.00 90.00 142.07
Closest atoms and distances in Å follow each position.
Sites, in units of the cell vectors:
Tb 0.2124 0.7876 0.5813  5 Er 3.44-3.71, 3 Tm 3.51-3.75, 3 Tb 3.55-3.81
Tb 0.2124 0.7876 0.9187  5 Er 3.44-3.71, 3 Tm 3.51-3.75, 3 Tb 3.55-3.81
Tb 0.7876 0.2124 0.0813  5 Er 3.44-3.71, 3 Tm 3.51-3.75, 3 Tb 3.55-3.81
Tb 0.7876 0.2124 0.4187  5 Er 3.44-3.71, 3 Tm 3.51-3.75, 3 Tb 3.55-3.81
Er 0.0456 0.9544 0.1120  2 Er 2.93-3.11
Er 0.0456 0.9544 0.3880  2 Er 2.93-3.11
Er 0.3942 0.6058 0.7500  8 Er 3.33-3.73, 2 Tm 3.41, 2 Tb 3.50
Er 0.4128 0.5872 0.0793  7 Er 3.34-3.73, 3 Tb 3.44-3.71, 1 Tm 3.56
Er 0.4128 0.5872 0.4207  7 Er 3.34-3.73, 3 Tb 3.44-3.71, 1 Tm 3.56
Er 0.5872 0.4128 0.5793  7 Er 3.34-3.73, 3 Tb 3.44-3.71, 1 Tm 3.56
Er 0.5872 0.4128 0.9207  7 Er 3.34-3.73, 3 Tb 3.44-3.71, 1 Tm 3.56
Er 0.6058 0.3942 0.2500  8 Er 3.33-3.73, 2 Tm 3.41, 2 Tb 3.50
Er 0.9544 0.0456 0.6120  2 Er 2.93-3.11
Er 0.9544 0.0456 0.8880  2 Er 2.93-3.11
Tm 0.2277 0.7723 0.2500  6 Er 3.33-3.56, 4 Tb 3.51
Tm 0.7723 0.2277 0.7500  6 Er 3.33-3.56, 4 Tb 3.51


Quick one: most stable of them? *a*